(1)
Y2AlMo | the Alexandria database | PBE-GGA | relaxed; symmetry = Amm2 (38); E_form = 0.018 eV/atom
1.0
-1.5802 -3.9322 1.1599
2.5449 -0.1369 3.0028
-2.4900 2.4186 4.8068
Mo Y Al
1 2 1
Direct
0.5000 0.5623 0.7497
0.0000 0.9777 0.9192
0.5000 0.2720 0.3316
0.0000 0.6880 0.4995



(2)
Y2AlMo2 | the Alexandria database | PBE-GGA | relaxed; symmetry = P4/mbm (127); E_form = 0.076 eV/atom
1.0
7.0145 0.0000 0.0000
0.0000 7.0145 0.0000
0.0000 0.0000 4.4966
Mo Y Al
4 4 2
Direct
0.1189 0.3811 0.0000
0.3811 0.8811 0.0000
0.6189 0.1189 0.0000
0.8811 0.6189 0.0000
0.6790 0.8210 0.5000
0.1790 0.6790 0.5000
0.3210 0.1790 0.5000
0.8210 0.3210 0.5000
0.0000 0.0000 0.0000
0.5000 0.5000 0.0000



(3)
YAl2Mo | the Alexandria database | PBE-GGA | relaxed; symmetry = Fm-3m (225); E_form = -0.048 eV/atom
1.0
-2.3524 1.1143 3.9276
-1.6960 4.3584 0.5740
-4.6467 0.7615 -0.1728
Y Mo Al
1 1 2
Direct
0.0000 0.0000 0.0000
0.5000 0.5000 0.5000
0.7500 0.7500 0.7500
0.2500 0.2500 0.2500



(4)
YAl2Mo | the Alexandria database | PBE-GGA | relaxed; symmetry = C2/m (12); E_form = -0.046 eV/atom
1.0
-0.5333 -2.8768 3.8643
-2.1969 -4.0099 1.6085
4.1528 -3.7322 -1.1879
Mo Al Y
1 2 1
Direct
0.7500 0.7500 0.7500
0.0118 0.0118 0.9435
0.4882 0.4882 0.5565
0.2500 0.2500 0.2500



(5)
YAl2Mo | the Alexandria database | PBE-GGA | relaxed; symmetry = R-3m (166); E_form = 0.100 eV/atom
1.0
-0.1896 9.7594 -0.5942
-3.0696 9.2809 0.2803
-0.8525 9.4509 2.3644
Y Al Mo
1 2 1
Direct
0.7500 0.7500 0.7500
0.5110 0.5110 0.5110
0.9890 0.9890 0.9890
0.2500 0.2500 0.2500



(6)
YAl2Mo | the Alexandria database | PBE-GGA | relaxed; symmetry = P4mm (99); E_form = 0.013 eV/atom
1.0
-0.4213 3.2856 -0.7468
0.1730 -0.7307 -3.3116
-6.8282 -0.9109 -0.1556
Y Al Mo
1 2 1
Direct
0.5000 0.5000 0.7260
0.0000 0.0000 0.0561
0.5000 0.5000 0.2734
0.0000 0.0000 0.4444



(7)
YAl2Mo | the Alexandria database | PBE-GGA | relaxed; symmetry = F-43m (216); E_form = 0.157 eV/atom
1.0
-3.1704 -2.1252 2.7553
1.3996 -2.2789 3.8739
-0.9815 1.7641 4.2525
Al Mo Y
2 1 1
Direct
0.2500 0.2500 0.2500
0.0000 0.0000 0.0000
0.5000 0.5000 0.5000
0.7500 0.7500 0.7500



(8)
YAl2Mo | the Alexandria database | PBE-GGA | relaxed; symmetry = Imm2 (44); E_form = 0.010 eV/atom
1.0
5.3950 -0.0031 -0.0040
2.2398 4.9081 0.0040
-3.5212 -2.9135 2.8668
Al Y Mo
2 1 1
Direct
0.7545 0.2545 0.5000
0.9839 0.9839 0.0000
0.2489 0.7489 0.5000
0.5127 0.5127 0.0000



(9)
YAl2Mo | the Alexandria database | PBE-GGA | relaxed; symmetry = C2/m (12); E_form = -0.020 eV/atom
1.0
5.1503 0.0061 -0.0020
-3.4067 5.6623 -0.0121
0.0163 1.5421 2.5384
Al Mo Y
2 1 1
Direct
0.0000 0.0000 0.0000
0.0000 0.5000 0.5000
0.5000 0.5000 0.0000
0.5000 0.0000 0.5000



(10)
Y2Al2Mo | the Alexandria database | PBE-GGA | relaxed; symmetry = P4/mbm (127); E_form = -0.055 eV/atom
1.0
7.1285 0.0000 0.0000
0.0000 7.1285 0.0000
0.0000 0.0000 4.3837
Y Al Mo
4 4 2
Direct
0.3225 0.1775 0.5000
0.8225 0.3225 0.5000
0.6775 0.8225 0.5000
0.1775 0.6775 0.5000
0.3676 0.8676 0.0000
0.8676 0.6324 0.0000
0.6324 0.1324 0.0000
0.1324 0.3676 0.0000
0.0000 0.0000 0.0000
0.5000 0.5000 0.0000



(11)
YAl2Mo | the Alexandria database | PBE-GGA | relaxed; symmetry = I4/mmm (139); E_form = -0.144 eV/atom
1.0
5.0391 -0.0089 0.0000
1.3905 4.8435 0.0000
-3.2148 -2.4173 3.0355
Mo Al Y
1 2 1
Direct
0.2500 0.7500 0.5000
0.5000 0.5000 0.0000
0.0000 0.0000 0.0000
0.7500 0.2500 0.5000



(12)
YAl2Mo | the Alexandria database | PBE-GGA | relaxed; symmetry = Pmmm (47); E_form = -0.189 eV/atom
1.0
3.1667 0.0000 0.0000
0.0000 3.6699 0.0000
0.0000 0.0000 6.5040
Y Mo Al
1 1 2
Direct
0.5000 0.5000 0.7500
0.5000 0.5000 0.2500
0.0000 0.0000 0.0526
0.0000 0.0000 0.4474



(13)
Y2AlMo | the Alexandria database | PBE-GGA | relaxed; symmetry = Imm2 (44); E_form = 0.043 eV/atom
1.0
5.7766 -0.0073 -0.0004
2.5057 5.2049 0.0004
-3.7961 -3.1486 3.0075
Y Al Mo
2 1 1
Direct
0.0092 0.0092 0.0000
0.7339 0.2339 0.5000
0.4703 0.4703 0.0000
0.2866 0.7866 0.5000



(14)
YAl3Mo | the Alexandria database | PBE-GGA | relaxed; symmetry = Pm-3m (221); E_form = 0.018 eV/atom
1.0
-0.2056 4.7862 -0.2428
-4.2617 -0.2937 -2.1818
-2.1919 0.1222 4.2649
Y Al Mo
1 3 1
Direct
0.5000 0.5000 0.5000
0.5000 0.0000 0.0000
0.0000 0.0000 0.5000
0.0000 0.5000 0.0000
0.0000 0.0000 0.0000



(15)
YAl2Mo | the Alexandria database | PBE-GGA | relaxed; symmetry = I-42d (122); E_form = 0.411 eV/atom
1.0
4.2675 0.0000 0.0000
0.0000 4.2675 0.0000
2.1337 2.1337 9.6079
Mo Y Al
2 2 4
Direct
0.0000 0.0000 0.0000
0.7500 0.2500 0.5000
0.5000 0.5000 0.0000
0.2500 0.7500 0.5000
0.0426 0.6250 0.2500
0.7074 0.1250 0.2500
0.8750 0.9574 0.7500
0.3750 0.2926 0.7500